Entry from the Alexandria database: a relaxed MnZn2 crystal (PBE).

Cell lengths 2.7392, 4.0005, 17.0990 Å; angles 90.00, 90.00, 90.00 degrees
Space group Imma (No. 74)
Unique sites:
Mn (0.0000, 0.2500, 0.1062) x4
Zn (0.0000, 0.2500, 0.5407) x4
Zn (0.0000, 0.2500, 0.6873) x4

formation energy: 193 meV per atom
DOS at the Fermi energy: 2.25 states/eV/f.u.